# 1
! PBE-GGA La2CeSm, relaxed; values from VASP
! ΔH_f (0 K) = 0.183 eV/atom
! space-group type = R-3m (166)
&SYSTEM
  ibrav = 0, nat = 4, ntyp = 3
/
ATOMIC_SPECIES
La 138.91 La.upf
Ce 140.12 Ce.upf
Sm 150.36 Sm.upf
CELL_PARAMETERS angstrom
1.752 1.011 12.638
-1.752 1.011 12.638
0.000 -2.023 12.638
ATOMIC_POSITIONS crystal
La 0.085 0.085 0.085
La 0.915 0.915 0.915
Ce 0.000 0.000 0.000
Sm 0.500 0.500 0.500

=====

# 2
! PBE-GGA Na14Ca2Te9, relaxed; values from VASP
! space-group type = P-3 (147)
! raw formation energy = -1.0065 eV/atom
&SYSTEM
  ibrav = 0, nat = 25, ntyp = 3
/
ATOMIC_SPECIES
Na 22.99 Na.upf
Ca 40.08 Ca.upf
Te 127.60 Te.upf
CELL_PARAMETERS angstrom
9.036 0.000 0.000
-4.518 7.826 0.000
0.000 0.000 12.677
ATOMIC_POSITIONS crystal
Na 0.000 0.000 0.248
Na 0.000 0.000 0.752
Na 0.025 0.677 0.411
Na 0.043 0.364 0.089
Na 0.321 0.957 0.089
Na 0.323 0.349 0.411
Na 0.349 0.025 0.589
Na 0.364 0.321 0.911
Na 0.636 0.679 0.089
Na 0.651 0.975 0.411
Na 0.677 0.651 0.589
Na 0.679 0.043 0.911
Na 0.957 0.636 0.911
Na 0.975 0.323 0.589
Ca 0.333 0.667 0.758
Ca 0.667 0.333 0.242
Te 0.000 0.000 0.500
Te 0.030 0.340 0.838
Te 0.310 0.970 0.838
Te 0.333 0.667 0.518
Te 0.340 0.310 0.162
Te 0.660 0.690 0.838
Te 0.667 0.333 0.482
Te 0.690 0.030 0.162
Te 0.970 0.660 0.162

=====

# 3
! PBE-GGA La2MgIn12Ni3, relaxed; values from VASP
! ΔH_f (0 K) = -0.021 eV/atom
! space-group type = R-3m (166)
&SYSTEM
  ibrav = 0, nat = 18, ntyp = 4
/
ATOMIC_SPECIES
La 138.91 La.upf
Mg 24.30 Mg.upf
In 114.82 In.upf
Ni 58.69 Ni.upf
CELL_PARAMETERS angstrom
4.656 2.688 6.481
-4.656 2.688 6.481
0.000 -5.377 6.481
ATOMIC_POSITIONS crystal
La 0.077 0.077 0.077
La 0.923 0.923 0.923
Mg 0.500 0.500 0.500
In 0.050 0.666 0.666
In 0.236 0.236 0.623
In 0.236 0.623 0.236
In 0.334 0.334 0.950
In 0.334 0.950 0.334
In 0.377 0.764 0.764
In 0.623 0.236 0.236
In 0.666 0.050 0.666
In 0.666 0.666 0.050
In 0.764 0.377 0.764
In 0.764 0.764 0.377
In 0.950 0.334 0.334
Ni 0.000 0.500 0.500
Ni 0.500 0.000 0.500
Ni 0.500 0.500 0.000

=====

# 4
! PBE-GGA BaRe2Si, relaxed; values from VASP
! space-group type = Pm (6)
! raw formation energy = 0.3243 eV/atom
&SYSTEM
  ibrav = 0, nat = 4, ntyp = 3
/
ATOMIC_SPECIES
Ba 137.33 Ba.upf
Re 186.21 Re.upf
Si 28.09 Si.upf
CELL_PARAMETERS angstrom
3.185 0.000 0.000
0.000 4.139 0.000
-1.169 0.000 6.763
ATOMIC_POSITIONS crystal
Ba 0.000 0.000 0.000
Re 0.337 0.000 0.488
Re 0.782 0.500 0.425
Si 0.390 0.500 0.706